Here is AcNi4B4 after structural relaxation from Alexandria via LeMat-Bulk. Energies are from PBE.

Results
Symmetry: P4_2/n, No. 86
Mass density (Mg/m³): 8.13
Uncorrected energy (eV/f.u.): -56.74
Formation energy (eV/atom): -0.310
Magnetization (Bohr magnetons per cell): 0.000

Cell: 7.479 7.479 3.689 Å, 90.00 90.00 90.00°
Atoms (fractional coordinates):
Ac 0.250 0.250 0.250
Ac 0.750 0.750 0.750
Ni 0.104 0.654 0.164
Ni 0.154 0.896 0.664
Ni 0.346 0.604 0.664
Ni 0.396 0.846 0.164
Ni 0.604 0.154 0.836
Ni 0.654 0.396 0.336
Ni 0.846 0.104 0.336
Ni 0.896 0.346 0.836
B 0.040 0.921 0.161
B 0.079 0.540 0.661
B 0.421 0.960 0.661
B 0.460 0.579 0.161
B 0.540 0.421 0.839
B 0.579 0.040 0.339
B 0.921 0.460 0.339
B 0.960 0.079 0.839



Here is AcNi3B after structural relaxation from Alexandria via LeMat-Bulk. Energies are from PBE.

Results
Symmetry: P6_3/mmc, No. 194
Mass density (Mg/m³): 8.84
Uncorrected energy (eV/f.u.): -28.79
Energy above the most stable polymorph in this dataset (eV/atom): 0.073
Formation energy (eV/atom): -0.132
Magnetization (Bohr magnetons per cell): 0.000

Cell: 5.933 5.933 5.101 Å, 90.00 90.00 120.00°
Atoms (fractional coordinates):
Ac 0.333 0.667 0.250
Ac 0.667 0.333 0.750
Ni 0.153 0.306 0.750
Ni 0.153 0.847 0.750
Ni 0.306 0.153 0.250
Ni 0.694 0.847 0.750
Ni 0.847 0.153 0.250
Ni 0.847 0.694 0.250
B 0.000 0.000 0.000
B 0.000 0.000 0.500



Here is AcNi3B2 after structural relaxation from Alexandria via LeMat-Bulk. Energies are from PBE.

Results
Symmetry: P2_1/m, No. 11
Mass density (Mg/m³): 9.26
Uncorrected energy (eV/f.u.): -36.49
Formation energy (eV/atom): -0.281
Magnetization (Bohr magnetons per cell): 0.000

Cell: 5.432 4.849 6.391 Å, 90.00 115.14 90.00°
Atoms (fractional coordinates):
Ac 0.092 0.250 0.183
Ac 0.908 0.750 0.817
Ni 0.040 0.250 0.587
Ni 0.453 0.750 0.413
Ni 0.478 0.250 0.955
Ni 0.522 0.750 0.045
Ni 0.547 0.250 0.587
Ni 0.960 0.750 0.413
B 0.342 0.567 0.684
B 0.342 0.933 0.684
B 0.658 0.067 0.316
B 0.658 0.433 0.316



Here is Ac2Ni4B after structural relaxation from Alexandria via LeMat-Bulk. Energies are from PBE.

Results
Symmetry: Fmmm, No. 69
Mass density (Mg/m³): 8.80
Uncorrected energy (eV/f.u.): -39.01
Formation energy (eV/atom): -0.141
Magnetization (Bohr magnetons per cell): 0.000

Cell: 5.981 5.966 5.342 Å, 63.59 63.29 53.12°
Atoms (fractional coordinates):
Ac 0.250 0.250 0.250
Ac 0.750 0.750 0.750
Ni 0.236 0.764 0.764
Ni 0.238 0.762 0.238
Ni 0.762 0.238 0.762
Ni 0.764 0.236 0.236
B 0.500 0.500 0.500



Here is AcNi3B after structural relaxation from Alexandria via LeMat-Bulk. Energies are from PBE.

Results
Symmetry: Pm-3m, No. 221
Mass density (Mg/m³): 9.30
Uncorrected energy (eV/f.u.): -28.93
Energy above the most stable polymorph in this dataset (eV/atom): 0.045
Formation energy (eV/atom): -0.160
Magnetization (Bohr magnetons per cell): 0.693

Cell: 4.196 4.196 4.196 Å, 90.00 90.00 90.00°
Atoms (fractional coordinates):
Ac 0.000 0.000 0.000
Ni 0.000 0.500 0.500
Ni 0.500 0.000 0.500
Ni 0.500 0.500 0.000
B 0.500 0.500 0.500



Here is AcNi5B2 after structural relaxation from Alexandria via LeMat-Bulk. Energies are from PBE.

Results
Symmetry: Immm, No. 71
Mass density (Mg/m³): 9.08
Uncorrected energy (eV/f.u.): -48.69
Formation energy (eV/atom): -0.290
Magnetization (Bohr magnetons per cell): 0.000

Cell: 5.761 5.761 5.761 Å, 144.49 114.18 77.08°
Atoms (fractional coordinates):
Ac 0.000 0.000 0.000
Ni 0.145 0.333 0.812
Ni 0.479 0.667 0.812
Ni 0.500 0.000 0.500
Ni 0.521 0.333 0.188
Ni 0.855 0.667 0.188
B 0.276 0.776 0.500
B 0.724 0.224 0.500



Here is AcNiB after structural relaxation from Alexandria via LeMat-Bulk. Energies are from PBE.

Results
Symmetry: P2_12_12_1, No. 19
Mass density (Mg/m³): 8.36
Uncorrected energy (eV/f.u.): -17.15
Energy above the most stable polymorph in this dataset (eV/atom): 0.000
Formation energy (eV/atom): -0.196
Magnetization (Bohr magnetons per cell): 0.000

Cell: 3.872 6.718 9.059 Å, 90.00 90.00 90.00°
Atoms (fractional coordinates):
Ac 0.248 0.237 0.314
Ac 0.252 0.763 0.814
Ac 0.748 0.263 0.686
Ac 0.752 0.737 0.186
Ni 0.244 0.866 0.501
Ni 0.256 0.134 0.001
Ni 0.744 0.634 0.499
Ni 0.756 0.366 0.999
B 0.244 0.567 0.514
B 0.256 0.433 0.014
B 0.744 0.933 0.486
B 0.756 0.067 0.986



Here is AcNi12B6 after structural relaxation from Alexandria via LeMat-Bulk. Energies are from PBE.

Results
Symmetry: R-3m, No. 166
Mass density (Mg/m³): 8.26
Uncorrected energy (eV/f.u.): -120.88
Formation energy (eV/atom): -0.386
Magnetization (Bohr magnetons per cell): 0.000

Cell: 6.099 6.099 6.099 Å, 104.57 104.57 104.57°
Atoms (fractional coordinates):
Ac 0.000 0.000 0.000
Ni 0.132 0.500 0.868
Ni 0.132 0.868 0.500
Ni 0.188 0.462 0.462
Ni 0.462 0.188 0.462
Ni 0.462 0.462 0.188
Ni 0.500 0.132 0.868
Ni 0.500 0.868 0.132
Ni 0.538 0.538 0.812
Ni 0.538 0.812 0.538
Ni 0.812 0.538 0.538
Ni 0.868 0.132 0.500
Ni 0.868 0.500 0.132
B 0.232 0.232 0.654
B 0.232 0.654 0.232
B 0.346 0.768 0.768
B 0.654 0.232 0.232
B 0.768 0.346 0.768
B 0.768 0.768 0.346